(1)
! PBE BeCdTe2, optimized geometry; values from VASP
! **Magnetization**: 0.0 μB per cell
! **ρ**: 6.4 g/cm³
! **E_form (uncorrected)**: -0.045 eV per atom
&SYSTEM
  ibrav = 0, nat = 4, ntyp = 3
/
ATOMIC_SPECIES
Cd 112.41 Cd.upf
Te 127.60 Te.upf
Be 9.01 Be.upf
CELL_PARAMETERS angstrom
-3.9734 -1.0860 -0.5491
-2.5917 -1.1015 3.0559
-3.9019 5.8756 1.5207
ATOMIC_POSITIONS angstrom
Cd -2.6168 0.9220 1.0069
Te -5.0653 2.1737 1.9507
Te -4.0702 5.5459 1.5838
Be -7.8503 2.7661 3.0207

(2)
! PBE BeCdTe2, optimized geometry; values from VASP
! **Magnetization**: 0.0 μB per cell
! **ρ**: 5.5 g/cm³
! **E_form (uncorrected)**: 0.034 eV per atom
&SYSTEM
  ibrav = 0, nat = 4, ntyp = 3
/
ATOMIC_SPECIES
Cd 112.41 Cd.upf
Te 127.60 Te.upf
Be 9.01 Be.upf
CELL_PARAMETERS angstrom
-2.9954 6.5050 -1.0897
-4.9193 5.0343 1.7121
2.5449 2.1995 2.9020
ATOMIC_POSITIONS angstrom
Cd -1.3045 3.0683 0.7148
Te -4.7141 10.7802 2.4217
Te 0.2971 0.7512 0.5983
Be -2.3333 6.0085 1.5518

(3)
! PBE BeCdTe2, optimized geometry; values from VASP
! **Magnetization**: 0.0 μB per cell
! **ρ**: 6.1 g/cm³
! **E_form (uncorrected)**: 0.329 eV per atom
&SYSTEM
  ibrav = 0, nat = 4, ntyp = 3
/
ATOMIC_SPECIES
Cd 112.41 Cd.upf
Te 127.60 Te.upf
Be 9.01 Be.upf
CELL_PARAMETERS angstrom
-4.7500 2.0186 0.6728
-0.6408 -2.8213 -4.3266
-2.6883 -3.3205 1.0049
ATOMIC_POSITIONS angstrom
Cd -1.6646 -3.0709 -1.6608
Te 0.0000 0.0000 0.0000
Te -2.6954 -0.4013 -1.8269
Be -3.7192 -0.6510 0.8389

(4)
! PBE BeCdTe2, optimized geometry; values from VASP
! **Magnetization**: 0.0 μB per cell
! **ρ**: 6.4 g/cm³
! **E_form (uncorrected)**: 0.298 eV per atom
&SYSTEM
  ibrav = 0, nat = 4, ntyp = 3
/
ATOMIC_SPECIES
Cd 112.41 Cd.upf
Te 127.60 Te.upf
Be 9.01 Be.upf
CELL_PARAMETERS angstrom
3.2489 0.0117 0.0000
-1.0770 3.0652 0.0000
0.0000 0.0000 9.8246
ATOMIC_POSITIONS angstrom
Cd 1.0860 1.5384 6.8050
Te 0.0000 0.0000 9.5626
Te 1.0860 1.5384 3.3014
Be 0.0000 0.0000 4.8926